A.
A relaxed structure of TbY3O6. Source: the Alexandria database, functional PBE-GGA.

```
TbY3O6
1.0
3.553 0.000 0.000
0.000 6.876 -0.121
0.000 -2.277 6.489
Tb Y O
1 3 6
direct
0.000 0.500 0.500
0.500 0.500 0.000
0.000 0.000 0.000
0.500 0.000 0.500
0.000 0.074 0.330
0.000 0.926 0.670
0.000 0.330 0.074
0.000 0.670 0.926
0.500 0.637 0.363
0.500 0.363 0.637
```

Summary:
Calculated volume   157.6 Å³/cell
Size of the total moment   0.00 μB per cell

=====

B.
A relaxed structure of TbY3O6. Source: the Alexandria database, functional PBE-GGA.

```
TbY3O6
1.0
6.760 -0.013 -0.160
-0.163 6.758 -0.160
-0.013 -0.013 6.762
Tb Y O
2 6 12
direct
0.000 0.000 0.000
0.500 0.500 0.500
0.444 0.937 0.749
0.937 0.749 0.444
0.251 0.556 0.063
0.749 0.444 0.937
0.063 0.251 0.556
0.556 0.063 0.251
0.316 0.904 0.071
0.096 0.929 0.684
0.603 0.818 0.470
0.929 0.684 0.096
0.470 0.603 0.818
0.182 0.530 0.397
0.818 0.470 0.603
0.530 0.397 0.182
0.071 0.316 0.904
0.397 0.182 0.530
0.904 0.071 0.316
0.684 0.096 0.929
```

Summary:
Calculated volume   308.9 Å³/cell
Size of the total moment   0.00 μB per cell

=====

Least stable structure among those shown: A.